Record 1
This record from Alexandria describes CsNa2Hg4Au after structural relaxation. The functional is PBE.

The structure in POSCAR format:
```
CsNa2Hg4Au
1.0
2.606 1.505 11.181
-2.606 1.505 11.181
0.000 -3.009 11.181
Cs Na Hg Au
1 2 4 1
Direct
0.000 0.000 0.000 Cs
0.203 0.203 0.203 Na
0.797 0.797 0.797 Na
0.109 0.109 0.109 Hg
0.412 0.412 0.412 Hg
0.588 0.588 0.588 Hg
0.891 0.891 0.891 Hg
0.500 0.500 0.500 Au
```

Space group: R-3m, No. 166
Spin magnetization, μB per atom: 0.000
Volume, A^3/atom: 32.9

***

Record 2
This record from Alexandria describes CsNa2HgAu after structural relaxation. The functional is PBE.

The structure in POSCAR format:
```
CsNa2HgAu
1.0
5.731 0.000 0.000
0.000 5.731 0.000
0.000 0.000 6.828
Cs Na Hg Au
1 2 1 1
Direct
0.000 0.000 0.000 Cs
0.000 0.500 0.500 Na
0.500 0.000 0.500 Na
0.500 0.500 0.000 Hg
0.000 0.000 0.500 Au
```

Space group: P4/mmm, No. 123
Spin magnetization, μB per atom: 0.000
Volume, A^3/atom: 44.8
Offset from the most stable computed form, meV/atom: 66

***

Record 3
This record from Alexandria describes CsNaHgAu after structural relaxation. The functional is PBE.

The structure in POSCAR format:
```
CsNaHgAu
1.0
8.314 0.000 0.000
0.000 8.314 0.000
0.000 0.000 8.314
Cs Na Hg Au
4 4 4 4
Direct
0.000 0.000 0.000 Cs
0.000 0.500 0.500 Cs
0.500 0.000 0.500 Cs
0.500 0.500 0.000 Cs
0.000 0.000 0.500 Na
0.000 0.500 0.000 Na
0.500 0.000 0.000 Na
0.500 0.500 0.500 Na
0.250 0.250 0.750 Hg
0.250 0.750 0.250 Hg
0.750 0.250 0.250 Hg
0.750 0.750 0.750 Hg
0.250 0.250 0.250 Au
0.250 0.750 0.750 Au
0.750 0.250 0.750 Au
0.750 0.750 0.250 Au
```

Space group: F-43m, No. 216
Spin magnetization, μB per atom: 0.000
Volume, A^3/atom: 35.9
Offset from the most stable computed form, meV/atom: 113

***

Record 4
This record from Alexandria describes Cs2Na6HgAu after structural relaxation. The functional is PBE.

The structure in POSCAR format:
```
Cs2Na6HgAu
1.0
0.000 6.024 6.024
6.024 0.000 6.024
6.024 6.024 0.000
Cs Na Hg Au
2 6 1 1
Direct
0.250 0.250 0.250 Cs
0.750 0.750 0.750 Cs
0.245 0.245 0.755 Na
0.245 0.755 0.245 Na
0.245 0.755 0.755 Na
0.755 0.245 0.245 Na
0.755 0.245 0.755 Na
0.755 0.755 0.245 Na
0.500 0.500 0.500 Hg
0.000 0.000 0.000 Au
```

Space group: Fm-3m, No. 225
Spin magnetization, μB per atom: 0.000
Volume, A^3/atom: 43.7

***

Record 5
This record from Alexandria describes CsNaHgAu2 after structural relaxation. The functional is PBE.

The structure in POSCAR format:
```
CsNaHgAu2
1.0
4.841 0.000 0.000
0.000 4.868 0.000
0.000 0.000 12.675
Cs Na Hg Au
2 2 2 4
Direct
0.000 0.000 0.000 Cs
0.500 0.500 0.500 Cs
0.000 0.500 0.764 Na
0.500 0.000 0.264 Na
0.000 0.000 0.619 Hg
0.500 0.500 0.119 Hg
0.000 0.000 0.391 Au
0.000 0.500 0.261 Au
0.500 0.000 0.761 Au
0.500 0.500 0.891 Au
```

Space group: Imm2, No. 44
Spin magnetization, μB per atom: 0.000
Volume, A^3/atom: 29.9

***

Record 6
This record from Alexandria describes Cs2NaHg4Au2 after structural relaxation. The functional is PBE.

The structure in POSCAR format:
```
Cs2NaHg4Au2
1.0
5.419 0.000 0.000
1.129 6.628 0.000
1.127 1.336 8.599
Cs Na Hg Au
2 1 4 2
Direct
0.114 0.246 0.352 Cs
0.886 0.754 0.648 Cs
0.500 0.000 0.000 Na
0.005 0.806 0.149 Hg
0.490 0.676 0.332 Hg
0.510 0.324 0.668 Hg
0.995 0.194 0.851 Hg
0.266 0.485 0.962 Au
0.734 0.515 0.038 Au
```

Space group: P-1, No. 2
Spin magnetization, μB per atom: 0.000
Volume, A^3/atom: 34.3

***

Number 1: formation enthalpy at 0 K -0.233 eV/atom. Number 2: formation enthalpy at 0 K -0.104 eV/atom. Number 3: formation enthalpy at 0 K -0.164 eV/atom. Number 4: formation enthalpy at 0 K -0.087 eV/atom. Number 5: formation enthalpy at 0 K -0.256 eV/atom. Number 6: formation enthalpy at 0 K -0.240 eV/atom.